# 1
# ZnGeN2

ZnGeN2 at its PBEsol-relaxed geometry (meta-GGA SCAN, Alexandria).

Lattice parameters (Å, degrees): 4.543 4.543 8.757 90.00 90.00 90.00
Space group I-42d (No. 122)
Symmetry-distinct sites (fractional):
Zn: 0.000 0.000 0.000 x4
Ge: 0.000 0.000 0.500 x4
N: 0.219 0.250 0.625 x8

Computed properties:
E_form (uncorrected) ... -0.325 eV per atom
Raw total energy ... -13.121 eV/atom

# 2
# Mn3W4

Mn3W4 at its PBEsol-relaxed geometry (meta-GGA SCAN, Alexandria).

Lattice parameters (Å, degrees): 4.7251 4.7251 4.8729 90.00 90.00 120.00
Space group P6/mmm (No. 191)
Symmetry-distinct sites (fractional):
Mn: 0.0000 0.5000 0.0000 x3
W: 0.0000 0.0000 0.2504 x2
W: 0.3333 0.6667 0.5000 x2

Computed properties:
Energy of formation from the pure elements ... 58 meV/atom
Raw total energy ... -47.587 eV/atom

# 3
# Sr3TaN3

Sr3TaN3 at its PBEsol-relaxed geometry (meta-GGA SCAN, Alexandria).

Lattice parameters (Å, degrees): 7.8558 7.8558 5.4306 90.00 90.00 120.00
Space group P6_3/m (No. 176)
Symmetry-distinct sites (fractional):
Sr: 0.1155 0.7585 0.2500 x6
Ta: 0.3333 0.6667 0.7500 x2
N: 0.1319 0.7407 0.7500 x6

Computed properties:
E_form (uncorrected) ... -1.090 eV per atom
Raw total energy ... -24.130 eV/atom

# 4
# BeZnOs3

BeZnOs3 at its PBEsol-relaxed geometry (meta-GGA SCAN, Alexandria).

Lattice parameters (Å, degrees): 4.404 4.404 4.404 90.00 90.00 90.00
Space group Pm-3m (No. 221)
Symmetry-distinct sites (fractional):
Be: 0.000 0.000 0.000 x1
Zn: 0.500 0.500 0.500 x1
Os: 0.000 0.500 0.500 x3

Computed properties:
Energy of formation from the pure elements ... 2421 meV/atom
Raw total energy ... -44.281 eV/atom

# 5
# LaZr2Te

LaZr2Te at its PBEsol-relaxed geometry (meta-GGA SCAN, Alexandria).

Lattice parameters (Å, degrees): 10.376 3.837 5.175 90.00 110.65 90.00
Space group Cm (No. 8)
Symmetry-distinct sites (fractional):
La: 0.000 0.000 0.000 x2
Zr: 0.235 0.000 0.822 x2
Zr: 0.489 0.000 0.495 x2
Te: 0.255 0.500 0.370 x2

Computed properties:
E_form (uncorrected) ... -0.333 eV per atom
Raw total energy ... -35.771 eV/atom

# 6
# AlTlO2

AlTlO2 at its PBEsol-relaxed geometry (meta-GGA SCAN, Alexandria).

Lattice parameters (Å, degrees): 8.001 8.001 8.001 90.00 90.00 90.00
Space group Fd-3m (No. 227, origin choice 2)
Symmetry-distinct sites (fractional):
Al: 0.125 0.125 0.125 x8
Tl: 0.125 0.125 0.625 x8
O: 0.000 0.000 0.000 x16

Computed properties:
E_form (uncorrected) ... -2.295 eV per atom
Raw total energy ... -25.438 eV/atom
Polymorph energy (0 for the lowest one) ... 42 meV/atom

# 7
# AlTl2Ir

AlTl2Ir at its PBEsol-relaxed geometry (meta-GGA SCAN, Alexandria).

Lattice parameters (Å, degrees): 4.308 4.308 8.254 90.00 90.00 90.00
Space group I4/mmm (No. 139)
Symmetry-distinct sites (fractional):
Al: 0.000 0.000 0.000 x2
Tl: 0.000 0.500 0.250 x4
Ir: 0.000 0.000 0.500 x2

Computed properties:
Energy of formation from the pure elements ... 528 meV/atom
Raw total energy ... -55.364 eV/atom
Polymorph energy (0 for the lowest one) ... 650 meV/atom

# 8
# Ta2As

Ta2As at its PBEsol-relaxed geometry (meta-GGA SCAN, Alexandria).

Lattice parameters (Å, degrees): 7.642 7.642 7.642 90.00 90.00 90.00
Space group Fd-3m (No. 227, origin choice 2)
Symmetry-distinct sites (fractional):
Ta: 0.000 0.000 0.000 x16
As: 0.125 0.125 0.625 x8

Computed properties:
Energy of formation from the pure elements ... 520 meV/atom
Raw total energy ... -50.599 eV/atom

# 9
# CsGaGe

CsGaGe at its PBEsol-relaxed geometry (meta-GGA SCAN, Alexandria).

Lattice parameters (Å, degrees): 4.2431 4.2431 6.0368 90.00 90.00 120.00
Space group P-6m2 (No. 187)
Symmetry-distinct sites (fractional):
Cs: 0.0000 0.0000 0.0000 x1
Ga: 0.6667 0.3333 0.5000 x1
Ge: 0.3333 0.6667 0.5000 x1

Computed properties:
Energy of formation from the pure elements ... -230 meV/atom
Raw total energy ... -24.644 eV/atom

# 10
# Al2Ni

Al2Ni at its PBEsol-relaxed geometry (meta-GGA SCAN, Alexandria).

Lattice parameters (Å, degrees): 2.7743 2.7743 6.0461 90.00 90.00 120.00
Space group P-3m1 (No. 164)
Symmetry-distinct sites (fractional):
Al: 0.3333 0.6667 0.3063 x2
Ni: 0.0000 0.0000 0.0000 x1

Computed properties:
Energy of formation from the pure elements ... -345 meV/atom
Raw total energy ... -10.904 eV/atom

# 11
# Tl3AgRh

Tl3AgRh at its PBEsol-relaxed geometry (meta-GGA SCAN, Alexandria).

Lattice parameters (Å, degrees): 5.160 5.160 5.160 90.00 90.00 90.00
Space group Pm-3m (No. 221)
Symmetry-distinct sites (fractional):
Tl: 0.000 0.000 0.500 x3
Ag: 0.500 0.500 0.500 x1
Rh: 0.000 0.000 0.000 x1

Computed properties:
Energy of formation from the pure elements ... 212 meV/atom
Raw total energy ... -56.231 eV/atom

# 12
# Sr2V3O9

Sr2V3O9 at its PBEsol-relaxed geometry (meta-GGA SCAN, Alexandria).

Lattice parameters (Å, degrees): 6.929 16.150 7.269 90.00 116.19 90.00
Space group P2_1/c (No. 14)
Symmetry-distinct sites (fractional):
Sr: 0.249 0.124 0.004 x4
Sr: 0.250 0.549 0.002 x4
V: 0.248 0.159 0.501 x4
V: 0.251 0.579 0.502 x4
V: 0.252 0.746 0.781 x4
O: 0.050 0.224 0.333 x4
O: 0.054 0.519 0.337 x4
O: 0.138 0.098 0.619 x4
O: 0.155 0.639 0.646 x4
O: 0.258 0.714 0.002 x4
O: 0.349 0.639 0.359 x4
O: 0.359 0.096 0.387 x4
O: 0.446 0.517 0.664 x4
O: 0.448 0.225 0.666 x4

Computed properties:
E_form (uncorrected) ... -2.966 eV per atom
Raw total energy ... -13.902 eV/atom